Entry from the Alexandria database: KNiPO4 after structural relaxation (PBE+U).

Its relative energy among the computed polymorphs is 320 meV/atom. The calculation puts the spin magnetization at 0.29 μB/atom. Its theoretical density is 2.56 g/cm3. The calculated total energy comes out at -40.56 eV for the cell shown.

a = 5.6133 Å, b = 5.6133 Å, c = 5.6133 Å
α = 60.00°, β = 60.00°, γ = 60.00°
Closest atoms and distances in Å follow each position.
Element x y z (fractional)
K  0.7500  0.7500  0.7500  12 O 3.33, 4 Ni 3.44
Ni  0.5000  0.5000  0.5000  4 O 1.89
P  0.2500  0.2500  0.2500  4 O 1.54
O  0.3622  0.3622  0.9133  1 P 1.54
O  0.3622  0.3622  0.3622  1 P 1.54
O  0.3622  0.9133  0.3622  1 P 1.54
O  0.9133  0.3622  0.3622  1 P 1.54